Entry 1:
Here is a geometry-optimized TbCeOs2 structure from the Alexandria database. Energies are from PBE.

Cell lengths 3.4481, 3.4481, 6.8815 Å; angles 90.00, 90.00, 90.00 degrees
Space group P4/mmm (No. 123)
Asymmetric unit:
Tb 0.0000 0.0000 0.0000 (multiplicity 1)
Ce 0.0000 0.0000 0.5000 (multiplicity 1)
Os 0.5000 0.5000 0.2614 (multiplicity 2)

Output
As for the formation energy: -11 kJ per mole of atoms.

---

Entry 2:
Here is a geometry-optimized TbCe5Os4 structure from the Alexandria database. Energies are from PBE.

Cell lengths 14.5486, 4.8901, 6.8194 Å; angles 90.00, 98.16, 90.00 degrees
Space group C2/m (No. 12)
Asymmetric unit:
Tb 0.0000 0.0000 0.0000 (multiplicity 2)
Ce 0.0000 0.0000 0.5000 (multiplicity 2)
Ce 0.1656 0.5000 0.0339 (multiplicity 4)
Ce 0.1733 0.5000 0.5255 (multiplicity 4)
Os 0.0018 0.5000 0.7368 (multiplicity 4)
Os 0.1642 0.0000 0.7657 (multiplicity 4)

Output
As for the formation energy: -13 kJ per mole of atoms.

---

Entry 3:
Here is a geometry-optimized TbCe6Os4 structure from the Alexandria database. Energies are from PBE.

Cell lengths 7.3175, 7.3175, 10.4503 Å; angles 90.00, 90.00, 90.00 degrees
Space group I-42m (No. 121)
Asymmetric unit:
Tb 0.0000 0.0000 0.0000 (multiplicity 2)
Ce 0.0000 0.5000 0.0000 (multiplicity 4)
Ce 0.1683 0.1683 0.7086 (multiplicity 8)
Os 0.1988 0.1988 0.4326 (multiplicity 8)

Output
As for the formation energy: -7 kJ per mole of atoms.

---

Entry 4:
Here is a geometry-optimized Tb2CeOs structure from the Alexandria database. Energies are from PBE.

Cell lengths 3.3124, 3.3124, 32.6436 Å; angles 90.00, 90.00, 120.00 degrees
Space group R-3m (No. 166, hexagonal axes)
Asymmetric unit:
Tb 0.0000 0.0000 0.1019 (multiplicity 6)
Ce 0.0000 0.0000 0.0000 (multiplicity 3)
Os 0.0000 0.0000 0.5000 (multiplicity 3)

Output
The calculation puts the energy above the most stable polymorph in this dataset at 505 meV per atom. As for the formation energy: 27 kJ per mole of atoms.

---

Entry 5:
Here is a geometry-optimized TbCe3Os8 structure from the Alexandria database. Energies are from PBE.

Cell lengths 5.3878, 5.3878, 26.4244 Å; angles 90.00, 90.00, 120.00 degrees
Space group R3m (No. 160, hexagonal axes)
Asymmetric unit:
Tb 0.0000 0.0000 0.0000 (multiplicity 3)
Ce 0.0000 0.0000 0.1250 (multiplicity 3)
Ce 0.0000 0.0000 0.4991 (multiplicity 3)
Ce 0.0000 0.0000 0.6240 (multiplicity 3)
Os 0.0000 0.0000 0.3125 (multiplicity 3)
Os 0.0000 0.0000 0.8124 (multiplicity 3)
Os 0.0007 0.5004 0.5627 (multiplicity 9)
Os 0.1675 0.3349 0.3949 (multiplicity 9)

Output
As for the formation energy: -23 kJ per mole of atoms.

---

Entry 6:
Here is a geometry-optimized Tb3Ce4Os4 structure from the Alexandria database. Energies are from PBE.

Cell lengths 3.7155, 9.3178, 15.0585 Å; angles 90.00, 90.00, 90.00 degrees
Space group Immm (No. 71)
Asymmetric unit:
Tb 0.0000 0.0000 0.0000 (multiplicity 2)
Tb 0.0000 0.5000 0.1089 (multiplicity 4)
Ce 0.0000 0.3027 0.3359 (multiplicity 8)
Os 0.0000 0.0000 0.2151 (multiplicity 4)
Os 0.0000 0.2065 0.5000 (multiplicity 4)

Output
As for the formation energy: -13 kJ per mole of atoms.

---

Entry 7:
Here is a geometry-optimized TbCe12Os6 structure from the Alexandria database. Energies are from PBE.

Cell lengths 13.0167, 13.0167, 9.8768 Å; angles 90.00, 90.00, 120.00 degrees
Space group R-3m (No. 166, hexagonal axes)
Asymmetric unit:
Tb 0.0000 0.0000 0.0000 (multiplicity 3)
Ce 0.0000 0.3912 0.5000 (multiplicity 18)
Ce 0.0856 0.1712 0.3407 (multiplicity 18)
Os 0.0393 0.5196 0.2416 (multiplicity 18)

Output
As for the formation energy: -2 kJ per mole of atoms.

---

Entry 8:
Here is a geometry-optimized Tb3CeOs8 structure from the Alexandria database. Energies are from PBE.

Cell lengths 9.3066, 5.3788, 9.3230 Å; angles 90.00, 109.29, 90.00 degrees
Space group Cm (No. 8)
Asymmetric unit:
Tb 0.0000 0.0000 0.0000 (multiplicity 2)
Tb 0.0000 0.5000 0.5004 (multiplicity 2)
Tb 0.3753 0.0000 0.1256 (multiplicity 2)
Ce 0.3748 0.5000 0.6240 (multiplicity 2)
Os 0.1864 0.2484 0.3109 (multiplicity 4)
Os 0.1875 0.0000 0.5627 (multiplicity 2)
Os 0.1883 0.2496 0.8142 (multiplicity 4)
Os 0.1877 0.5000 0.0631 (multiplicity 2)
Os 0.4378 0.0000 0.8142 (multiplicity 2)
Os 0.4376 0.5000 0.3109 (multiplicity 2)

Output
As for the formation energy: -24 kJ per mole of atoms.

---

Computed DOS(E_F), in the same sequence as the records: 0.2508; 1.6416; 1.5859; 1.7603; 0.5997; 1.2081; 2.1383; 1.0475 states/eV per atom.